Below is a relaxed structure of NpNi2AuO8, with properties calculated at the GGA+U level.

It has space group P2/m (No. 10), with a = 4.726 Å, b = 6.355 Å, c = 4.757 Å, α = 90.00°, β = 92.66° and γ = 90.00°. Symmetry generates all atoms from Np at (0.000, 0.000, 0.000), Ni at (0.500, 0.260, 0.500), Au at (0.000, 0.500, 0.000), O at (0.200, 0.253, 0.808), O at (0.296, 0.000, 0.302) and O at (0.302, 0.500, 0.312).

The total energy comes out at -74.76 eV per formula unit.